AcBePd | GGA-PBE | relaxed

Output
Distance to the lowest polymorph of the same formula (meV per atom): 541.0

Geometry as POSCAR:
```
AcBePd
1.0
0.000 3.485 3.485
3.485 0.000 3.485
3.485 3.485 0.000
Ac Be Pd
1 1 1
Direct
0.000 0.000 0.000
0.250 0.250 0.250
0.750 0.750 0.750
```


BaYAgTeS2 | GGA-PBE | relaxed

Output
Energy (eV/cell): -62.7

Geometry as POSCAR:
```
BaYAgTeS2
1.0
-3.595 5.507 4.149
1.366 -3.299 -6.908
-8.640 -6.800 1.539
Ag Ba S Te Y
2 2 4 2 2
Direct
0.017 0.983 0.250
0.983 0.017 0.750
0.713 0.287 0.250
0.287 0.713 0.750
0.116 0.884 0.066
0.116 0.884 0.434
0.884 0.116 0.566
0.884 0.116 0.934
0.396 0.604 0.250
0.604 0.396 0.750
0.500 0.500 0.000
0.500 0.500 0.500
```